Record 1
Compound: NiOsAu
Source: Alexandria via LeMat-Bulk
Functional: PBE
Structure: relaxed

Cell: 2.751 2.751 6.660 Å, 90.00 90.00 120.00°
Positions (direct):
Au 0.000 0.000 0.012
Os 0.667 0.333 0.640
Ni 0.333 0.667 0.348

raw total energy	-6.454	eV/atom
E_form	89	kJ/mol of formula units

***

Record 2
Compound: HgPbBr2
Source: Alexandria via LeMat-Bulk
Functional: PBE
Structure: relaxed

Cell: 8.804 8.804 8.804 Å, 28.87 28.87 28.87°
Positions (direct):
Br 0.022 0.022 0.022
Br 0.225 0.225 0.225
Hg 0.498 0.498 0.498
Pb 0.755 0.755 0.755

raw total energy	-2.347	eV/atom
ΔE_f (raw)	-0.508	eV/atom

***

Record 3
Compound: K3OsRh3S8
Source: Alexandria via LeMat-Bulk
Functional: PBE
Structure: relaxed

Cell: 7.307 7.314 8.164 Å, 116.68 90.00 119.97°
Each line ends with the local moment (μB).
Positions (direct):
S 0.778 0.556 0.333  0.03
S 0.778 0.055 0.333  0.03
S 0.277 0.055 0.333  0.03
S 0.278 0.556 0.334  0.01
S 0.723 0.945 0.667  0.03
S 0.722 0.444 0.666  0.01
S 0.222 0.444 0.667  0.03
S 0.222 0.945 0.667  0.03
Rh 0.500 0.000 0.500  0.03
Rh 0.500 0.500 0.500  0.03
Rh 0.000 0.500 0.500  0.03
K 0.500 0.500 0.000  0.00
K 0.000 0.000 0.000  0.00
K 0.000 0.500 0.000  0.00
Os 0.000 0.000 0.500  0.83

raw total energy	-5.268	eV/atom
ΔE_f (raw)	-0.629	eV/atom

***

Record 4
Compound: LiLuScNi
Source: Alexandria via LeMat-Bulk
Functional: PBE
Structure: relaxed

Cell: 4.712 4.712 4.712 Å, 60.00 60.00 60.00°
Positions (direct):
Li 0.750 0.750 0.750
Lu 0.000 0.000 0.000
Sc 0.500 0.500 0.500
Ni 0.250 0.250 0.250

raw total energy	-4.827	eV/atom
E_form	-74	kJ/mol of formula units

***

Record 5
Compound: Ti2AlHW
Source: Alexandria via LeMat-Bulk
Functional: PBE
Structure: relaxed

Cell: 4.272 4.272 3.589 Å, 90.00 90.00 90.00°
Positions (direct):
Ti 0.500 0.000 0.000
Ti 0.000 0.500 0.000
W 0.500 0.500 0.500
Al 0.000 0.000 0.500
H 0.000 0.000 0.000

raw total energy	-7.322	eV/atom

***

Record 6
Compound: K2CdRe
Source: Alexandria via LeMat-Bulk
Functional: PBE
Structure: relaxed

Cell: 5.453 5.453 5.453 Å, 120.00 120.00 90.00°
Each line ends with the local moment (μB).
Positions (direct):
Re 0.500 0.500 0.000  2.72
K 0.250 0.750 0.500  0.02
K 0.000 0.000 0.000  -0.01
Cd 0.750 0.250 0.500  -0.06

raw total energy	-2.587	eV/atom
E_form	503	kJ/mol of formula units

***

Repeat the sixth record exactly.
Compound: K2CdRe
Source: Alexandria via LeMat-Bulk
Functional: PBE
Structure: relaxed

Cell: 5.453 5.453 5.453 Å, 120.00 120.00 90.00°
Each line ends with the local moment (μB).
Positions (direct):
Re 0.500 0.500 0.000  2.72
K 0.250 0.750 0.500  0.02
K 0.000 0.000 0.000  -0.01
Cd 0.750 0.250 0.500  -0.06

raw total energy	-2.587	eV/atom
E_form	503	kJ/mol of formula units